Below is crystalline HoZn11Ni at its relaxed geometry, with properties calculated at the PBE-GGA level.

a b c (Å): 5.1023 12.5186 6.7504
angles (deg): 90.00 112.18 90.00
With the nearest neighbours (Å) after each atom.
Space group C2/m (No. 12)
Inequivalent atoms, fractional coordinates:
Ho  0.0000  0.0000  0.0000  18 Zn 3.10-3.38, 2 Ni 3.38
Zn  0.0000  0.0000  0.5000  2 Ni 2.55, 8 Zn 2.56-2.70
Zn  0.1034  0.3934  0.2194  1 Ni 2.53, 7 Zn 2.56-2.77
Zn  0.1947  0.1721  0.3575  1 Ni 2.62, 8 Zn 2.65-2.92
Zn  0.2500  0.2500  0.0000  10 Zn 2.55-2.79
Ni  0.0000  0.5000  0.5000  10 Zn 2.53-2.62

- energy (eV per formula unit) = -27.041
- ρ (g cm⁻³) = 7.8
- calculated volume (A^3/atom) = 15.36
- magnetic moment (μB/f.u.) = 0.00
- energy of formation from the pure elements (eV per formula unit) = -2.669
- crystal system = monoclinic